Entry from Alexandria via LeMat-Bulk: a relaxed ZnRe2Pt crystal (GGA-PBE).

As for the space-group type: No. 166. For the formation energy, the calculation gives 15.0 kJ/mol of atoms.

Unit cell a=9.1590 b=9.1590 c=9.1590 alpha=17.37 beta=17.37 gamma=17.37
With the nearest neighbours (Å) after each atom.
Sites, in units of the cell vectors:
Zn: 0.0000 0.0000 0.0000  6 Re 2.76, 6 Zn 2.77
Re: 0.2502 0.2502 0.2502  3 Zn 2.76, 6 Re 2.77, 3 Pt 2.77
Re: 0.7498 0.7498 0.7498  3 Zn 2.76, 6 Re 2.77, 3 Pt 2.77
Pt: 0.5000 0.5000 0.5000  6 Pt 2.77, 6 Re 2.77

---

Entry from Alexandria via LeMat-Bulk: a relaxed LaTcS2 crystal (GGA-PBE).

The value obtained for the energy above the lowest structure with this stoichiometry is 0.000 eV per formula unit. As for the space-group type: No. 122. The uncorrected formation energy is -0.86 eV/atom.

Unit cell a=7.6005 b=7.6005 c=7.6005 alpha=138.38 beta=138.38 gamma=60.32
With the nearest neighbours (Å) after each atom.
Sites, in units of the cell vectors:
La: 0.0000 0.0000 0.0000  4 S 2.79
La: 0.7500 0.2500 0.5000  4 S 2.79
Tc: 0.2500 0.7500 0.5000  4 S 2.30
Tc: 0.5000 0.5000 0.0000  4 S 2.30
S: 0.2108 0.6250 0.0858  2 Tc 2.30
S: 0.3750 0.4608 0.5858  2 Tc 2.30
S: 0.5392 0.1250 0.9142  2 Tc 2.30
S: 0.8750 0.7892 0.4142  2 Tc 2.30

---

Entry from Alexandria via LeMat-Bulk: a relaxed RhS2NCl crystal (GGA-PBE).

The value obtained for the energy above the lowest structure with this stoichiometry is 4.678 eV per formula unit. As for the space-group type: No. 123. The uncorrected formation energy is 1.79 eV/atom.

Unit cell a=4.7553 b=4.7553 c=3.2899 alpha=90.00 beta=90.00 gamma=90.00
With the nearest neighbours (Å) after each atom.
Sites, in units of the cell vectors:
Rh: 0.0000 0.0000 0.0000  8 S 2.89
S: 0.0000 0.5000 0.5000  2 Cl 2.38
S: 0.5000 0.0000 0.5000  2 Cl 2.38
N: 0.5000 0.5000 0.0000  2 Cl 1.64
Cl: 0.5000 0.5000 0.5000  2 N 1.64

---

Entry from Alexandria via LeMat-Bulk: a relaxed CeDyGa2 crystal (GGA-PBE).

As for the space-group type: No. 123. For the formation energy, the calculation gives -51.4 kJ/mol of atoms.

Unit cell a=3.3952 b=3.3952 c=7.9924 alpha=90.00 beta=90.00 gamma=90.00
With the nearest neighbours (Å) after each atom.
Sites, in units of the cell vectors:
Ce: 0.0000 0.0000 0.0000  8 Ga 3.16, 4 Ce 3.40
Dy: 0.0000 0.0000 0.5000  8 Ga 3.09, 4 Dy 3.40
Ga: 0.5000 0.5000 0.2568  4 Dy 3.09, 4 Ce 3.16, 4 Ga 3.40
Ga: 0.5000 0.5000 0.7432  4 Dy 3.09, 4 Ce 3.16, 4 Ga 3.40

---

no.,total magnetic moment (Bohr magnetons per cell)
1,0.000
2,0.000
3,0.001
4,0.392